DFT (PBE-GGA) results for DyZn2Ru2C after structural relaxation.

Unit cell a=4.100 b=4.100 c=5.459 alpha=90.00 beta=90.00 gamma=90.00
Fractional coordinates of all 6 atoms:
1 Dy 0.000 0.000 0.000
2 Zn 0.500 0.500 0.217
3 Zn 0.500 0.500 0.783
4 Ru 0.000 0.500 0.500
5 Ru 0.500 0.000 0.500
6 C 0.000 0.000 0.500

Summary:
ΔH_f (0 K) (kJ/mol of formula units): -151
Symmetry: No. 123
DOS at the Fermi energy (states/eV/f.u.): 2.82
Total moment (Bohr magnetons per cell): 0.0

***

DFT (PBE-GGA) results for Dy6C2S after structural relaxation.

Unit cell a=8.184 b=8.184 c=7.586 alpha=103.02 beta=103.02 gamma=25.84
Fractional coordinates of all 9 atoms:
1 Dy 0.011 0.011 0.265
2 Dy 0.326 0.326 0.882
3 Dy 0.330 0.330 0.437
4 Dy 0.670 0.670 0.563
5 Dy 0.674 0.674 0.118
6 Dy 0.989 0.989 0.735
7 C 0.168 0.168 0.336
8 C 0.832 0.832 0.664
9 S 0.500 0.500 0.000

Summary:
Symmetry: No. 12
DOS at the Fermi energy (states/eV/f.u.): 6.53
E_form (uncorrected) (eV per atom): -0.621
Total moment (Bohr magnetons per cell): 0.0

***

DFT (PBE-GGA) results for Dy2CS after structural relaxation.

Unit cell a=6.707 b=6.707 c=6.707 alpha=32.18 beta=32.18 gamma=32.18
Fractional coordinates of all 4 atoms:
1 Dy 0.237 0.237 0.237
2 Dy 0.763 0.763 0.763
3 C 0.500 0.500 0.500
4 S 0.000 0.000 0.000

Summary:
Symmetry: No. 166
DOS at the Fermi energy (states/eV/f.u.): 0.58
E_form (uncorrected) (eV per atom): -1.285
Total moment (Bohr magnetons per cell): 0.0

***

DFT (PBE-GGA) results for Dy4C2S after structural relaxation.

Unit cell a=6.353 b=6.353 c=12.213 alpha=90.00 beta=90.00 gamma=146.23
Fractional coordinates of all 14 atoms:
1 Dy 0.000 0.000 0.000
2 Dy 0.000 0.000 0.500
3 Dy 0.264 0.736 0.610
4 Dy 0.264 0.736 0.890
5 Dy 0.438 0.562 0.250
6 Dy 0.562 0.438 0.750
7 Dy 0.736 0.264 0.110
8 Dy 0.736 0.264 0.390
9 C 0.363 0.637 0.061
10 C 0.363 0.637 0.439
11 C 0.637 0.363 0.561
12 C 0.637 0.363 0.939
13 S 0.107 0.893 0.250
14 S 0.893 0.107 0.750

Summary:
Symmetry: No. 63
DOS at the Fermi energy (states/eV/f.u.): 3.70
E_form (uncorrected) (eV per atom): -0.760
Total moment (Bohr magnetons per cell): 0.1

***

DFT (PBE-GGA) results for Dy4CS2 after structural relaxation.

Unit cell a=6.665 b=6.665 c=3.775 alpha=90.00 beta=90.00 gamma=108.66
Fractional coordinates of all 7 atoms:
1 Dy 0.218 0.218 0.500
2 Dy 0.230 0.770 0.000
3 Dy 0.770 0.230 0.000
4 Dy 0.782 0.782 0.500
5 C 0.000 0.000 0.000
6 S 0.000 0.500 0.500
7 S 0.500 0.000 0.500

Summary:
Symmetry: No. 65
DOS at the Fermi energy (states/eV/f.u.): 5.42
E_form (uncorrected) (eV per atom): -1.303
Total moment (Bohr magnetons per cell): 0.1

***

DFT (PBE-GGA) results for Dy5CS5 after structural relaxation.

Unit cell a=6.726 b=6.726 c=7.667 alpha=106.89 beta=106.89 gamma=47.77
Fractional coordinates of all 11 atoms:
1 Dy 0.000 0.000 0.000
2 Dy 0.345 0.345 0.686
3 Dy 0.351 0.351 0.161
4 Dy 0.649 0.649 0.839
5 Dy 0.655 0.655 0.314
6 C 0.500 0.500 0.000
7 S 0.169 0.169 0.836
8 S 0.175 0.175 0.331
9 S 0.500 0.500 0.500
10 S 0.825 0.825 0.669
11 S 0.831 0.831 0.164

Summary:
Symmetry: No. 12
DOS at the Fermi energy (states/eV/f.u.): 2.47
E_form (uncorrected) (eV per atom): -1.794
Total moment (Bohr magnetons per cell): 0.0

***

DFT (PBE-GGA) results for Dy6CS2 after structural relaxation.

Unit cell a=7.255 b=7.255 c=9.016 alpha=104.79 beta=104.79 gamma=29.80
Fractional coordinates of all 9 atoms:
1 Dy 0.021 0.021 0.280
2 Dy 0.310 0.310 0.360
3 Dy 0.377 0.377 0.983
4 Dy 0.623 0.623 0.017
5 Dy 0.690 0.690 0.640
6 Dy 0.979 0.979 0.720
7 C 0.000 0.000 0.000
8 S 0.332 0.332 0.668
9 S 0.668 0.668 0.332

Summary:
Symmetry: No. 12
DOS at the Fermi energy (states/eV/f.u.): 8.56
E_form (uncorrected) (eV per atom): -0.926
Total moment (Bohr magnetons per cell): 1.3

***

DFT (PBE-GGA) results for Dy3CS2 after structural relaxation.

Unit cell a=6.714 b=6.714 c=6.714 alpha=147.65 beta=132.48 gamma=58.66
Fractional coordinates of all 6 atoms:
1 Dy 0.000 0.000 0.000
2 Dy 0.358 0.358 0.000
3 Dy 0.642 0.642 0.000
4 C 0.500 0.000 0.500
5 S 0.173 0.673 0.500
6 S 0.827 0.327 0.500

Summary:
Symmetry: No. 71
DOS at the Fermi energy (states/eV/f.u.): 1.45
E_form (uncorrected) (eV per atom): -1.541
Total moment (Bohr magnetons per cell): 0.0

***

Question: The highest DOS at the Fermi energy belongs to which entry?
Answer: Dy6CS2

***

Question: total moment of number 8 (Dy3CS2)?
Answer: 0.0 Bohr magnetons per cell